# PBE-GGA TiSb2Au2, optimized geometry
data_TiSb2Au2
_chemical_formula_sum 'Ti2 Sb4 Au4'
_cell_length_a 7.428
_cell_length_b 7.428
_cell_length_c 3.924
_cell_angle_alpha 90.00
_cell_angle_beta 90.00
_cell_angle_gamma 90.00
_symmetry_space_group_name_H-M 'P 4/m b m'
_symmetry_Int_Tables_number 127
_symmetry_space_group_name_Hall '-P 4 2ab'
loop_
_atom_site_label
_atom_site_type_symbol
_atom_site_fract_x
_atom_site_fract_y
_atom_site_fract_z
_atom_site_occupancy
Ti1 Ti 0.000 0.000 0.000 1
Sb1 Sb 0.178 0.322 0.500 1
Au1 Au 0.132 0.632 0.000 1
# Size of the total moment in μB/cell: 0.0
# Uncorrected formation energy in meV per atom: 19
# Final energy in hartree per atom: -0.1661